A plane-wave DFT calculation with GGA-PBE was carried out for NdRu2C2 after structural relaxation.

Output
Space-group type ... I4/mmm (139)
Energy relative to the elements ... 0.042 eV/atom
Density of states at the Fermi level ... 2.32 states/eV per cell
Magnetization ... 0.000 μB/atom
Theoretical density ... 8.50 Mg/m³

Cell lengths 3.791, 3.791, 5.703 Å; angles 109.41, 109.41, 90.00 degrees
Fractional coordinates of all 5 atoms:
Nd 0.000 0.000 0.000
C 0.337 0.337 0.674
Ru 0.250 0.750 0.500
C 0.663 0.663 0.326
Ru 0.750 0.250 0.500